A plane-wave DFT calculation with PBE was carried out for CaBeSe2Br after structural relaxation.

```
CaBeSe2Br
1.0
5.589 0.000 0.000
0.000 5.589 0.000
0.000 0.000 5.441
Ca Be Se Br
1 1 2 1
direct
0.000 0.000 0.000 Ca
0.500 0.500 0.500 Be
0.000 0.500 0.000 Se
0.500 0.000 0.000 Se
0.000 0.000 0.500 Br
```

Output
E above lowest polymorph in eV per atom: 1.056
N(E_F) in states/eV/atom: 1.2972
Energy relative to the elements, uncorrected in eV/atom: 0.28
Space group: P4/mmm (123)

=====

A plane-wave DFT calculation with PBE was carried out for Sc2NiHg after structural relaxation.

```
Sc2NiHg
1.0
6.579 0.000 0.000
0.000 6.579 0.000
0.000 0.000 6.579
Sc Ni Hg
8 4 4
direct
0.000 0.000 0.000 Sc
0.000 0.500 0.500 Sc
0.250 0.250 0.250 Sc
0.250 0.750 0.750 Sc
0.500 0.000 0.500 Sc
0.500 0.500 0.000 Sc
0.750 0.250 0.750 Sc
0.750 0.750 0.250 Sc
0.250 0.250 0.750 Ni
0.250 0.750 0.250 Ni
0.750 0.250 0.250 Ni
0.750 0.750 0.750 Ni
0.000 0.000 0.500 Hg
0.000 0.500 0.000 Hg
0.500 0.000 0.000 Hg
0.500 0.500 0.500 Hg
```

Output
Space group: F-43m (216)
DFT formation energy in eV/f.u.: -1.0

=====

A plane-wave DFT calculation with PBE was carried out for RbPtBr after structural relaxation.

```
RbPtBr
1.0
12.206 0.000 0.000
0.000 3.871 0.000
-2.311 0.000 7.860
Rb Pt Br
4 4 4
direct
0.000 0.000 0.000 Rb
0.137 0.500 0.495 Rb
0.500 0.500 0.000 Rb
0.637 0.000 0.495 Rb
0.317 0.000 0.178 Pt
0.380 0.500 0.392 Pt
0.817 0.500 0.178 Pt
0.880 0.000 0.392 Pt
0.225 0.500 0.965 Br
0.400 0.000 0.621 Br
0.725 0.000 0.965 Br
0.900 0.500 0.621 Br
```

Output
E above lowest polymorph in eV per atom: 0.032
N(E_F) in states/eV/atom: 0.0000
Energy relative to the elements, uncorrected in eV/atom: -0.63
Space group: Cm (8)

=====

A plane-wave DFT calculation with PBE was carried out for ScCuRh2 after structural relaxation.

```
ScCuRh2
1.0
2.869 0.000 0.000
-1.434 2.484 0.000
0.000 0.000 26.137
Sc Cu Rh
3 3 6
direct
0.000 0.000 0.000 Sc
0.333 0.667 0.667 Sc
0.667 0.333 0.333 Sc
0.000 0.000 0.246 Cu
0.333 0.667 0.913 Cu
0.667 0.333 0.580 Cu
0.000 0.000 0.500 Rh
0.000 0.000 0.748 Rh
0.333 0.667 0.167 Rh
0.333 0.667 0.415 Rh
0.667 0.333 0.082 Rh
0.667 0.333 0.833 Rh
```

Output
N(E_F) in states/eV/atom: 1.2170
Space group: R3m (160)
DFT formation energy in eV/f.u.: 0.2

=====

Number 1: total magnetic moment 1.09 μB/cell. Number 2: total magnetic moment 0.00 μB/cell. Number 3: total magnetic moment 0.00 μB/cell. Number 4: total magnetic moment 2.71 μB/cell.